1.
This record from the Alexandria database describes a geometry-optimized La2PbCl structure. The functional is PBE.

## Properties
E_form (uncorrected): -0.69 eV/atom
energy above the most stable polymorph in this dataset: 412.8 meV per atom

abc: 9.3664 9.3664 9.3664
angles: 141.49 141.49 55.59
With the nearest neighbours (Å) after each atom.
Atoms (fractional coordinates):
La (0.0880, 0.6250, 0.9630)  2 Cl 2.90, 2 Pb 3.13
La (0.3750, 0.3380, 0.4630)  2 Cl 2.90, 2 Pb 3.13
La (0.6620, 0.1250, 0.0370)  2 Cl 2.90, 2 Pb 3.13
La (0.8750, 0.9120, 0.5370)  2 Cl 2.90, 2 Pb 3.13
Pb (0.2500, 0.7500, 0.5000)  4 La 3.13
Pb (0.5000, 0.5000, 0.0000)  4 La 3.13
Cl (0.0000, 0.0000, 0.0000)  4 La 2.90
Cl (0.7500, 0.2500, 0.5000)  4 La 2.90



2.
This record from the Alexandria database describes a geometry-optimized CeScTl2 structure. The functional is PBE.

## Properties
energy of formation from the pure elements: -0.2063 eV per atom

abc: 4.8492 4.8492 4.5206
angles: 90.00 90.00 90.00
With the nearest neighbours (Å) after each atom.
Atoms (fractional coordinates):
Ce (0.0000, 0.0000, 0.0000)  8 Tl 3.31, 4 Sc 3.43
Sc (0.5000, 0.5000, 0.0000)  8 Tl 3.31, 4 Ce 3.43
Tl (0.0000, 0.5000, 0.5000)  4 Ce 3.31, 4 Sc 3.31, 4 Tl 3.43
Tl (0.5000, 0.0000, 0.5000)  4 Ce 3.31, 4 Sc 3.31, 4 Tl 3.43



3.
This record from the Alexandria database describes a geometry-optimized Zr2CrOs structure. The functional is PBE.

## Properties
energy of formation from the pure elements: 0.3180 eV per atom

abc: 9.3208 9.3208 9.3208
angles: 18.58 18.58 18.58
With the nearest neighbours (Å) after each atom.
Atoms (fractional coordinates):
Zr (0.0000, 0.0000, 0.0000)  3 Os 2.96, 9 Zr 3.01-3.25
Zr (0.2334, 0.2334, 0.2334)  3 Cr 2.86, 6 Zr 3.01
Cr (0.4842, 0.4842, 0.4842)  3 Os 2.47
Os (0.7538, 0.7538, 0.7538)  3 Cr 2.47



4.
This record from the Alexandria database describes a geometry-optimized Nd3Sm7Ho2 structure. The functional is PBE.

## Properties
energy of formation from the pure elements: 0.0867 eV per atom
energy above the most stable polymorph in this dataset: 0.0 meV per atom

abc: 5.9252 3.6126 19.0946
angles: 90.00 93.08 90.00
With the nearest neighbours (Å) after each atom.
Atoms (fractional coordinates):
Nd (0.0000, 0.0000, 0.0000)  8 Sm 3.44-3.47, 2 Nd 3.61
Nd (0.2810, 0.5000, 0.6337)  2 Nd 3.61, 8 Sm 3.71-3.99, 4 Ho 3.71-3.74
Nd (0.7190, 0.5000, 0.3663)  2 Nd 3.61, 8 Sm 3.71-3.99, 4 Ho 3.71-3.74
Sm (0.1878, 0.5000, 0.1451)  2 Ho 3.38, 7 Sm 3.41-3.61, 2 Nd 3.44
Sm (0.2430, 0.0000, 0.4639)  1 Ho 3.23, 4 Sm 3.26-3.61
Sm (0.3104, 0.0000, 0.8203)  6 Sm 3.51-3.61, 2 Ho 3.68-3.69
Sm (0.5000, 0.5000, 0.0000)  4 Sm 3.41-3.61, 4 Nd 3.47
Sm (0.6896, 0.0000, 0.1797)  6 Sm 3.51-3.61, 2 Ho 3.68-3.69
Sm (0.7570, 0.0000, 0.5361)  1 Ho 3.23, 4 Sm 3.26-3.61
Sm (0.8122, 0.5000, 0.8549)  2 Ho 3.38, 7 Sm 3.41-3.61, 2 Nd 3.44
Ho (0.2099, 0.0000, 0.2947)  3 Sm 3.23-3.38, 2 Ho 3.61
Ho (0.7901, 0.0000, 0.7053)  3 Sm 3.23-3.38, 2 Ho 3.61



5.
This record from the Alexandria database describes a geometry-optimized CeScCd2 structure. The functional is PBE.

## Properties
energy of formation from the pure elements: -0.2181 eV per atom
energy above the most stable polymorph in this dataset: 0.0 meV per atom

abc: 3.2482 3.2482 9.0090
angles: 90.00 90.00 90.00
With the nearest neighbours (Å) after each atom.
Atoms (fractional coordinates):
Ce (0.0000, 0.0000, 0.0000)  4 Ce 3.25, 8 Cd 3.35
Sc (0.0000, 0.0000, 0.5000)  8 Cd 3.09, 4 Sc 3.25
Cd (0.5000, 0.5000, 0.2710)  4 Sc 3.09, 4 Cd 3.25, 4 Ce 3.35
Cd (0.5000, 0.5000, 0.7290)  4 Sc 3.09, 4 Cd 3.25, 4 Ce 3.35



6.
This record from the Alexandria database describes a geometry-optimized Li2InSb structure. The functional is PBE.

## Properties
E_form (uncorrected): -0.31 eV/atom

abc: 4.9110 4.9110 5.8512
angles: 98.87 98.87 39.14
With the nearest neighbours (Å) after each atom.
Atoms (fractional coordinates):
Li (0.2428, 0.2428, 0.2313)  3 Sb 2.92-2.93, 3 In 2.95-3.10, 2 Li 3.19
Li (0.7572, 0.7572, 0.7687)  3 Sb 2.92-2.93, 3 In 2.95-3.10, 2 Li 3.19
In (0.0000, 0.0000, 0.5000)  6 Li 2.95-3.10, 2 In 3.29
Sb (0.5000, 0.5000, 0.0000)  6 Li 2.92-2.93



7.
This record from the Alexandria database describes a geometry-optimized Sb2PbSe structure. The functional is PBE.

## Properties
E_form (uncorrected): 0.21 eV/atom
energy above the most stable polymorph in this dataset: 424.0 meV per atom

abc: 5.3201 5.3201 5.3201
angles: 60.00 60.00 60.00
With the nearest neighbours (Å) after each atom.
Atoms (fractional coordinates):
Sb (0.2500, 0.2500, 0.2500)  4 Se 3.26, 4 Pb 3.26
Sb (0.7500, 0.7500, 0.7500)  4 Se 3.26, 4 Pb 3.26
Pb (0.0000, 0.0000, 0.0000)  8 Sb 3.26
Se (0.5000, 0.5000, 0.5000)  8 Sb 3.26



8.
This record from the Alexandria database describes a geometry-optimized K7Bi9O24 structure. The functional is PBE.

## Properties
E_form (uncorrected): -1.11 eV/atom

abc: 9.6085 9.6085 9.5593
angles: 113.80 113.80 52.29
With the nearest neighbours (Å) after each atom.
Atoms (fractional coordinates):
K (0.0000, 0.0000, 0.0000)  4 O 2.69-2.75
K (0.1285, 0.1285, 0.5001)  6 O 2.73-2.98
K (0.2503, 0.2503, 0.9976)  9 O 2.84-3.10
K (0.3692, 0.3692, 0.5006)  7 O 2.74-2.95
K (0.6308, 0.6308, 0.4994)  7 O 2.74-2.95
K (0.7497, 0.7497, 0.0024)  9 O 2.84-3.10
K (0.8715, 0.8715, 0.4999)  6 O 2.73-2.98
Bi (0.0648, 0.5594, 0.7520)  6 O 2.11-2.21
Bi (0.1904, 0.6848, 0.2532)  6 O 2.14-2.20
Bi (0.3152, 0.8096, 0.7468)  6 O 2.14-2.20
Bi (0.4406, 0.9352, 0.2480)  6 O 2.11-2.21
Bi (0.5000, 0.5000, 0.0000)  8 O 2.55-2.63
Bi (0.5594, 0.0648, 0.7520)  6 O 2.11-2.21
Bi (0.6848, 0.1904, 0.2532)  6 O 2.14-2.20
Bi (0.8096, 0.3152, 0.7468)  6 O 2.14-2.20
Bi (0.9352, 0.4406, 0.2480)  6 O 2.11-2.21
O (0.0000, 0.5000, 0.5000)  2 Bi 2.15
O (0.0651, 0.5518, 0.2312)  2 Bi 2.14-2.16
O (0.0669, 0.0669, 0.7943)  2 Bi 2.18
O (0.1693, 0.1693, 0.2281)  2 Bi 2.16
O (0.1946, 0.5788, 0.0037)  2 Bi 2.19-2.21
O (0.1981, 0.8019, 0.5000)  2 Bi 2.16
O (0.2374, 0.6474, 0.7685)  2 Bi 2.20-2.21
O (0.2969, 0.2969, 0.7258)  2 Bi 2.11
O (0.3526, 0.7626, 0.2315)  2 Bi 2.20-2.21
O (0.4212, 0.8054, 0.9963)  2 Bi 2.19-2.21
O (0.4467, 0.4467, 0.3055)  2 Bi 2.14
O (0.4482, 0.9349, 0.7688)  2 Bi 2.14-2.16
O (0.5000, 0.0000, 0.5000)  2 Bi 2.15
O (0.5518, 0.0651, 0.2312)  2 Bi 2.14-2.16
O (0.5533, 0.5533, 0.6945)  2 Bi 2.14
O (0.5788, 0.1946, 0.0037)  2 Bi 2.19-2.21
O (0.6474, 0.2374, 0.7685)  2 Bi 2.20-2.21
O (0.7031, 0.7031, 0.2742)  2 Bi 2.11
O (0.7626, 0.3526, 0.2315)  2 Bi 2.20-2.21
O (0.8019, 0.1981, 0.5000)  2 Bi 2.16
O (0.8054, 0.4212, 0.9963)  2 Bi 2.19-2.21
O (0.8307, 0.8307, 0.7719)  2 Bi 2.16
O (0.9331, 0.9331, 0.2057)  2 Bi 2.18
O (0.9349, 0.4482, 0.7688)  2 Bi 2.14-2.16



9.
This record from the Alexandria database describes a geometry-optimized NaHfIn structure. The functional is PBE.

## Properties
energy of formation from the pure elements: 0.2191 eV per atom
energy above the most stable polymorph in this dataset: 310.9 meV per atom

abc: 6.9959 4.2677 9.4075
angles: 90.00 90.00 90.00
With the nearest neighbours (Å) after each atom.
Atoms (fractional coordinates):
Na (0.1060, 0.2500, 0.0615)  2 Na 2.84, 3 In 3.09-3.13, 1 Hf 3.16
Na (0.3940, 0.7500, 0.5615)  2 Na 2.84, 3 In 3.09-3.13, 1 Hf 3.16
Na (0.6060, 0.2500, 0.4385)  2 Na 2.84, 3 In 3.09-3.13, 1 Hf 3.16
Na (0.8940, 0.7500, 0.9385)  2 Na 2.84, 3 In 3.09-3.13, 1 Hf 3.16
Hf (0.0805, 0.2500, 0.3965)  5 In 3.03-3.23, 2 Hf 3.10, 2 Na 3.16-3.34
Hf (0.4195, 0.7500, 0.8965)  5 In 3.03-3.23, 2 Hf 3.10, 2 Na 3.16-3.34
Hf (0.5805, 0.2500, 0.1035)  5 In 3.03-3.23, 2 Hf 3.10, 2 Na 3.16-3.34
Hf (0.9195, 0.7500, 0.6035)  5 In 3.03-3.23, 2 Hf 3.10, 2 Na 3.16-3.34
In (0.1730, 0.2500, 0.7325)  5 Hf 3.03-3.23, 3 Na 3.09-3.13
In (0.3270, 0.7500, 0.2325)  5 Hf 3.03-3.23, 3 Na 3.09-3.13
In (0.6730, 0.2500, 0.7675)  5 Hf 3.03-3.23, 3 Na 3.09-3.13
In (0.8270, 0.7500, 0.2675)  5 Hf 3.03-3.23, 3 Na 3.09-3.13



10.
This record from the Alexandria database describes a geometry-optimized KInFe2 structure. The functional is PBE.

## Properties
energy of formation from the pure elements: 0.5749 eV per atom

abc: 5.0044 5.0044 6.8054
angles: 96.58 96.58 35.69
With the nearest neighbours (Å) after each atom.
Atoms (fractional coordinates):
K (0.0000, 0.0000, 0.0000)  2 K 3.07
In (0.5000, 0.5000, 0.5000)  6 Fe 2.75-2.76, 2 In 3.07
Fe (0.2337, 0.2337, 0.6212)  2 Fe 2.30
Fe (0.7663, 0.7663, 0.3788)  2 Fe 2.30



11.
This record from the Alexandria database describes a geometry-optimized LiRe3 structure. The functional is PBE.

## Properties
energy of formation from the pure elements: 0.2845 eV per atom
energy above the most stable polymorph in this dataset: 98.4 meV per atom

abc: 2.7068 3.9820 5.2832
angles: 90.00 90.00 90.00
With the nearest neighbours (Å) after each atom.
Atoms (fractional coordinates):
Li (0.0000, 0.0000, 0.0000)  10 Re 2.64-2.72, 2 Li 2.71
Re (0.0000, 0.0000, 0.5000)  2 Li 2.64, 10 Re 2.71-2.77
Re (0.5000, 0.5000, 0.2393)  8 Re 2.53-2.77, 4 Li 2.72
Re (0.5000, 0.5000, 0.7607)  8 Re 2.53-2.77, 4 Li 2.72



12.
This record from the Alexandria database describes a geometry-optimized Zn6Cu3Ru structure. The functional is PBE.

## Properties
energy of formation from the pure elements: 0.0684 eV per atom

abc: 6.4576 6.3668 8.0850
angles: 90.00 122.39 90.00
With the nearest neighbours (Å) after each atom.
Atoms (fractional coordinates):
Zn (0.0302, 0.1311, 0.2233)  3 Cu 2.48-2.61, 5 Zn 2.67-2.77, 1 Ru 2.76
Zn (0.0302, 0.3689, 0.7233)  3 Cu 2.48-2.61, 5 Zn 2.67-2.77, 1 Ru 2.76
Zn (0.2560, 0.6996, 0.6672)  2 Cu 2.41-2.54, 3 Zn 2.47-2.67, 1 Ru 2.61
Zn (0.2560, 0.8004, 0.1672)  2 Cu 2.41-2.54, 3 Zn 2.47-2.67, 1 Ru 2.61
Zn (0.3780, 0.0721, 0.8262)  4 Cu 2.46-2.54, 4 Zn 2.47-2.70
Zn (0.3780, 0.4279, 0.3262)  4 Cu 2.46-2.54, 4 Zn 2.47-2.70
Zn (0.6220, 0.5721, 0.6738)  4 Cu 2.46-2.54, 4 Zn 2.47-2.70
Zn (0.6220, 0.9279, 0.1738)  4 Cu 2.46-2.54, 4 Zn 2.47-2.70
Zn (0.7440, 0.1996, 0.8328)  2 Cu 2.41-2.54, 3 Zn 2.47-2.67, 1 Ru 2.61
Zn (0.7440, 0.3004, 0.3328)  2 Cu 2.41-2.54, 3 Zn 2.47-2.67, 1 Ru 2.61
Zn (0.9698, 0.6311, 0.2767)  3 Cu 2.48-2.61, 5 Zn 2.67-2.77, 1 Ru 2.76
Zn (0.9698, 0.8689, 0.7767)  3 Cu 2.48-2.61, 5 Zn 2.67-2.77, 1 Ru 2.76
Cu (0.0000, 0.0000, 0.5000)  6 Zn 2.41-2.50, 2 Cu 2.55
Cu (0.0000, 0.5000, 0.0000)  6 Zn 2.41-2.50, 2 Cu 2.55
Cu (0.2601, 0.1740, 0.0588)  6 Zn 2.46-2.61, 1 Cu 2.55
Cu (0.2601, 0.3260, 0.5588)  6 Zn 2.46-2.61, 1 Cu 2.55
Cu (0.7399, 0.6740, 0.4412)  6 Zn 2.46-2.61, 1 Cu 2.55
Cu (0.7399, 0.8260, 0.9412)  6 Zn 2.46-2.61, 1 Cu 2.55
Ru (0.5000, 0.0000, 0.5000)  4 Zn 2.61-2.76, 2 Cu 2.78
Ru (0.5000, 0.5000, 0.0000)  4 Zn 2.61-2.76, 2 Cu 2.78



| no. | VASP energy (eV per cell) | magnetization (μB/f.u.) |
| --- | --- | --- |
| 1 | -36.37 | 0.397 |
| 2 | -17.82 | 1.660 |
| 3 | -36.68 | 0.006 |
| 4 | -55.45 | 0.000 |
| 5 | -14.97 | 0.727 |
| 6 | -11.92 | 0.000 |
| 7 | -14.61 | 0.000 |
| 8 | -206.09 | 0.000 |
| 9 | -53.41 | 0.000 |
| 10 | -18.46 | 5.277 |
| 11 | -38.12 | 0.000 |
| 12 | -57.05 | 0.269 |